# KLi2SiTe4

KLi2SiTe4 after structural relaxation (PBE, Alexandria).

Cell: 8.260 8.260 8.800 Å, 110.60 110.60 86.68°
Positions (direct):
1 Te 0.274 0.848 0.111
2 Te 0.726 0.152 0.889
3 Te 0.625 0.686 0.344
4 Te 0.375 0.314 0.656
5 Te 0.652 0.226 0.389
6 Si 0.500 0.500 0.500
7 Te 0.348 0.774 0.611
8 Te 0.814 0.875 0.156
9 Li 0.500 0.000 0.500
10 K 0.000 0.500 0.500
11 Si 0.000 0.000 0.000
12 Li 0.500 0.000 0.000
13 Li 0.500 0.500 0.000
14 Li 0.000 0.000 0.500
15 Te 0.186 0.125 0.844
16 K 0.000 0.500 0.000

Summary:
Density, g cm⁻³: 3.7
Spin magnetization, Bohr magnetons per cell: 0.0
Formation energy without anion corrections, eV per atom: -0.342



# YNpS3

YNpS3 after structural relaxation (PBE, Alexandria).

Cell: 3.902 7.776 7.717 Å, 93.80 90.00 90.00°
Last column: magnetic moment on the atom in μB.
Positions (direct):
1 Np 0.750 0.147 0.680  3.82
2 S 0.750 0.105 0.321  -0.08
3 S 0.750 0.325 0.986  -0.05
4 Np 0.250 0.853 0.320  3.82
5 S 0.750 0.617 0.381  -0.06
6 S 0.250 0.675 0.014  -0.05
7 S 0.250 0.895 0.679  -0.08
8 Y 0.750 0.622 0.763  0.04
9 S 0.250 0.383 0.619  -0.06
10 Y 0.250 0.378 0.237  0.04

Summary:
Excess energy over the best structure of this formula in the dataset, meV per atom: 94
Density, g cm⁻³: 6.0
Spin magnetization, Bohr magnetons per cell: 8.0
Formation energy without anion corrections, eV per atom: -1.648



# Cs2NpHg3I6

Cs2NpHg3I6 after structural relaxation (PBE, Alexandria).

Cell: 9.326 9.326 8.596 Å, 94.96 94.96 118.92°
Last column: magnetic moment on the atom in μB.
Positions (direct):
1 I 0.776 0.776 0.211  -0.05
2 Np 0.000 0.000 0.000  3.38
3 I 0.968 0.703 0.795  -0.05
4 Hg 0.500 0.500 0.500  -0.01
5 Hg 0.279 0.721 0.500  -0.01
6 I 0.032 0.297 0.205  -0.05
7 I 0.297 0.032 0.205  -0.05
8 Cs 0.664 0.336 0.000  0.00
9 I 0.224 0.224 0.789  -0.05
10 Cs 0.336 0.664 0.000  0.00
11 I 0.703 0.968 0.795  -0.05
12 Hg 0.721 0.279 0.500  -0.01

Summary:
Density, g cm⁻³: 4.8
Spin magnetization, Bohr magnetons per cell: 3.0
Formation energy without anion corrections, eV per atom: -0.833